First-principles (PBE-GGA) data for a geometry-optimized LiHf3Tl structure, as listed in Alexandria.

Energy of formation from the pure elements: 0.651 eV/atom
Magnetic moment: 0.00 Bohr magnetons per cell

Cell: 4.737 4.737 4.737 Å, 90.00 90.00 90.00°
Sites, in units of the cell vectors:
Tl1 0.500 0.500 0.500
Hf1 0.000 0.500 0.000
Hf2 0.000 0.000 0.500
Hf3 0.500 0.000 0.000
Li1 0.000 0.000 0.000